# Mn2INF, optimized geometry, DFT PBE+U
# energy	-4.33	eV per atom
# SG	P4/mmm, No. 123
# DOS at the Fermi energy	2.35	states/eV/f.u.
# M_tot	2.10	μB/atom
data_Mn2INF
_cell_length_a 5.542
_cell_length_b 5.542
_cell_length_c 4.042
_cell_angle_alpha 90.00
_cell_angle_beta 90.00
_cell_angle_gamma 90.00
_space_group_name_H-M_alt 'P 1'
_space_group_IT_number 1
_space_group_name_Hall 'P 1'
loop_
_atom_site_label
_atom_site_type_symbol
_atom_site_fract_x
_atom_site_fract_y
_atom_site_fract_z
_atom_site_occupancy
Mn1 Mn 0.000 0.500 0.000 1
Mn2 Mn 0.500 0.000 0.000 1
I1 I 0.000 0.000 0.000 1
N1 N 0.000 0.000 0.500 1
F1 F 0.500 0.500 0.500 1